No. 1
{
  "formula": "Hf3VNi",
  "functional": "PBE-GGA",
  "state": "optimized geometry",
  "dos_at_fermi_per_ev_cell": 7.5,
  "spacegroup": "No. 221",
  "relative_energy_mev_per_atom": 426,
  "final_energy_ev_per_cell": -40.01,
  "ef_ev_per_atom": 0.95,
  "cell": [[-4.443, 1.707, -0.363], [0.257, -0.340, -4.754], [-1.726, -4.445, 0.225]],
  "species": ["V", "Ni", "Hf", "Hf", "Hf"],
  "fractional_positions": [[0.000, 0.000, 0.000], [0.500, 0.500, 0.500], [0.500, 0.000, 0.000], [0.000, 0.000, 0.500], [0.000, 0.500, 0.000]]
}

***

No. 2
{
  "formula": "Hf2V2Ni",
  "functional": "PBE-GGA",
  "state": "optimized geometry",
  "dos_at_fermi_per_ev_cell": 11.4,
  "spacegroup": "No. 127",
  "final_energy_ev_per_cell": -86.95,
  "ef_ev_per_atom": 0.09,
  "cell": [[6.357, 0.000, 0.000], [0.000, 6.357, 0.000], [0.000, 0.000, 4.145]],
  "species": ["V", "Hf", "V", "Hf", "Ni", "V", "Ni", "V", "Hf", "Hf"],
  "fractional_positions": [[0.366, 0.866, 0.000], [0.328, 0.172, 0.500], [0.134, 0.366, 0.000], [0.172, 0.672, 0.500], [0.000, 0.000, 0.000], [0.866, 0.634, 0.000], [0.500, 0.500, 0.000], [0.634, 0.134, 0.000], [0.828, 0.328, 0.500], [0.672, 0.828, 0.500]]
}

***

No. 3
{
  "formula": "HfVNi2",
  "functional": "PBE-GGA",
  "state": "optimized geometry",
  "dos_at_fermi_per_ev_cell": 6.7,
  "spacegroup": "No. 122",
  "relative_energy_mev_per_atom": 570,
  "final_energy_ev_per_cell": -58.46,
  "ef_ev_per_atom": 0.35,
  "cell": [[3.815, 0.000, 0.000], [0.000, 3.815, 0.000], [1.908, 1.908, 8.428]],
  "species": ["Ni", "Ni", "Hf", "Ni", "V", "Ni", "Hf", "V"],
  "fractional_positions": [[0.375, 0.403, 0.750], [0.153, 0.625, 0.250], [0.000, 0.000, 0.000], [0.875, 0.847, 0.750], [0.250, 0.750, 0.500], [0.597, 0.125, 0.250], [0.750, 0.250, 0.500], [0.500, 0.500, 0.000]]
}

***

No. 4
{
  "formula": "Hf2VNi",
  "functional": "PBE-GGA",
  "state": "optimized geometry",
  "dos_at_fermi_per_ev_cell": 4.2,
  "spacegroup": "No. 166",
  "relative_energy_mev_per_atom": 571,
  "final_energy_ev_per_cell": -33.20,
  "ef_ev_per_atom": 0.40,
  "cell": [[-1.880, -1.716, -1.434], [0.987, -1.940, -1.949], [0.434, -7.843, 5.836]],
  "species": ["Ni", "V", "Hf", "Hf"],
  "fractional_positions": [[0.500, 0.500, 0.500], [0.000, 0.000, 0.000], [0.907, 0.907, 0.278], [0.093, 0.093, 0.722]]
}

***

The magnetization results, record by record, are as follows: 0.00 0.00 0.00 0.16 μB/atom.